AsRuAu2, single point on PBEsol structure, DFT meta-GGA SCAN; V = 16.11 A^3/atom; Fermi-level density of states = 0.9945 states/eV per atom; DFT total energy = -191.92 eV for the cell shown
1.0
-2.806 -0.471 0.963
0.424 -4.289 -0.863
1.676 -0.744 4.523
Ru As Au
1 1 2
direct
0.500 0.000 0.500
0.000 0.500 0.500
0.000 0.000 0.000
0.500 0.500 0.000